The following is a GGA-PBE calculation of an optimized crystal structure of YCuHg3, from Alexandria via LeMat-Bulk.

## Properties
crystal system: cubic
energy of formation from the pure elements: 0.030 eV/atom

Cell: 4.9649 4.9649 4.9649 Å, 90.00 90.00 90.00°
Atoms (fractional coordinates):
Y  0.5000  0.5000  0.5000
Hg  0.0000  0.0000  0.5000
Hg  0.0000  0.5000  0.0000
Hg  0.5000  0.0000  0.0000
Cu  0.0000  0.0000  0.0000

---

The following is a GGA-PBE calculation of an optimized crystal structure of Zr2BOsPt, from Alexandria via LeMat-Bulk.

## Properties
crystal system: tetragonal
energy of formation from the pure elements: 1.302 eV/atom

Cell: 4.9855 4.8160 4.9855 Å, 90.00 90.00 90.00°
Atoms (fractional coordinates):
Os  0.0000  0.0000  0.0000
Pt  0.0000  0.5000  0.0000
B  0.5000  0.5000  0.5000
Zr  0.0000  0.0000  0.5000
Zr  0.5000  0.0000  0.0000

---

The following is a GGA-PBE calculation of an optimized crystal structure of Mn3BBr, from Alexandria via LeMat-Bulk.

## Properties
crystal system: cubic
energy relative to the elements, uncorrected: 0.437 eV per atom

Cell: 4.1884 4.1884 4.1884 Å, 90.00 90.00 90.00°
Atoms (fractional coordinates):
Mn  0.0000  0.5000  0.0000
Mn  0.0000  0.0000  0.5000
Mn  0.5000  0.0000  0.0000
Br  0.5000  0.5000  0.5000
B  0.0000  0.0000  0.0000

---

The following is a GGA-PBE calculation of an optimized crystal structure of Tl3Cu2I4Br2, from Alexandria via LeMat-Bulk.

## Properties
crystal system: tetragonal
energy relative to the elements, uncorrected: -0.431 eV per atom

Cell: 5.3426 5.3426 14.4132 Å, 100.68 100.68 90.00°
Atoms (fractional coordinates):
Tl  0.0000  0.0000  0.0000
Tl  0.8164  0.8164  0.6328
Tl  0.1836  0.1836  0.3672
Br  0.2993  0.2993  0.5987
Br  0.7007  0.7007  0.4013
I  0.4127  0.9127  0.8254
I  0.5873  0.0873  0.1746
I  0.9127  0.4127  0.8254
I  0.0873  0.5873  0.1746
Cu  0.6105  0.6105  0.2210
Cu  0.3895  0.3895  0.7790

---

The following is a GGA-PBE calculation of an optimized crystal structure of Li2AsPd3, from Alexandria via LeMat-Bulk.

## Properties
crystal system: orthorhombic
energy of formation from the pure elements: -0.500 eV/atom

Cell: 8.1927 4.9262 4.9262 Å, 119.19 90.00 90.00°
Atoms (fractional coordinates):
Pd  0.9696  0.5000  0.5000
Pd  0.9696  0.8370  0.1630
Pd  0.9696  0.1630  0.8370
Pd  0.4696  0.1630  0.8370
Pd  0.4696  0.5000  0.5000
Pd  0.4696  0.8370  0.1630
Li  0.2197  0.5134  0.8448
Li  0.7197  0.1552  0.4866
Li  0.2197  0.8448  0.5134
Li  0.7197  0.4866  0.1552
As  0.2197  0.1859  0.1859
As  0.7197  0.8141  0.8141

---

The following is a GGA-PBE calculation of an optimized crystal structure of Zr2TiAl, from Alexandria via LeMat-Bulk.

## Properties
crystal system: tetragonal
energy of formation from the pure elements: -0.264 eV/atom

Cell: 4.2045 4.3167 4.3167 Å, 90.00 90.00 90.00°
Atoms (fractional coordinates):
Ti  0.5000  0.0000  0.0000
Zr  0.0000  0.5000  0.0000
Zr  0.0000  0.0000  0.5000
Al  0.5000  0.5000  0.5000

---

The following is a GGA-PBE calculation of an optimized crystal structure of NdDy5In4, from Alexandria via LeMat-Bulk.

## Properties
crystal system: tetragonal
energy of formation from the pure elements: -0.377 eV/atom

Cell: 3.5573 3.5573 22.0326 Å, 90.00 90.00 90.00°
Atoms (fractional coordinates):
Dy  0.5000  0.5000  0.8810
Dy  0.5000  0.5000  0.1190
Dy  0.5000  0.5000  0.6912
Dy  0.5000  0.5000  0.3088
Dy  0.5000  0.5000  0.5000
Nd  0.0000  0.0000  0.0000
In  0.0000  0.0000  0.5956
In  0.0000  0.0000  0.7868
In  0.0000  0.0000  0.4044
In  0.0000  0.0000  0.2132

---

The following is a GGA-PBE calculation of an optimized crystal structure of AcDy6Tm, from Alexandria via LeMat-Bulk.

## Properties
crystal system: triclinic
energy of formation from the pure elements: 0.217 eV/atom

Cell: 6.7652 6.7203 6.8139 Å, 82.63 60.46 83.88°
Atoms (fractional coordinates):
Ac  0.0000  0.0000  0.0000
Dy  0.4770  0.2622  0.9586
Dy  0.5230  0.7378  0.0414
Dy  0.4509  0.2788  0.4565
Dy  0.0493  0.7398  0.5209
Dy  0.5491  0.7212  0.5435
Dy  0.9507  0.2602  0.4791
Tm  0.0000  0.5000  0.0000

---

The following is a GGA-PBE calculation of an optimized crystal structure of AcCe3Sn3, from Alexandria via LeMat-Bulk.

## Properties
crystal system: hexagonal
energy of formation from the pure elements: -0.423 eV/atom

Cell: 5.4570 9.5295 9.5295 Å, 120.00 90.00 90.00°
Atoms (fractional coordinates):
Ce  0.7500  0.0012  0.7678
Ce  0.7500  0.2322  0.2334
Ce  0.2500  0.9988  0.2322
Ce  0.2500  0.7678  0.7666
Ce  0.2500  0.2334  0.0012
Ce  0.7500  0.7666  0.9988
Sn  0.7500  0.6233  0.5543
Sn  0.7500  0.4457  0.0691
Sn  0.2500  0.0691  0.6233
Sn  0.2500  0.3767  0.4457
Sn  0.7500  0.9309  0.3767
Sn  0.2500  0.5543  0.9309
Ac  0.2500  0.6667  0.3333
Ac  0.7500  0.3333  0.6667

---

The following is a GGA-PBE calculation of an optimized crystal structure of Rb3InBi3, from Alexandria via LeMat-Bulk.

## Properties
crystal system: monoclinic
energy of formation from the pure elements: -0.305 eV/atom

Cell: 5.6836 7.4184 15.8870 Å, 83.61 79.70 67.48°
Atoms (fractional coordinates):
Rb  0.2624  0.2510  0.2243
Rb  0.5205  0.3364  0.6227
Rb  0.4025  0.2768  0.9182
Rb  0.5975  0.7232  0.0818
Rb  0.7376  0.7490  0.7757
Rb  0.4795  0.6636  0.3773
In  0.2410  0.9251  0.5930
In  0.7590  0.0749  0.4070
Bi  0.1058  0.8618  0.9266
Bi  0.9564  0.8549  0.2322
Bi  0.1391  0.2657  0.4560
Bi  0.8609  0.7343  0.5440
Bi  0.8942  0.1382  0.0734
Bi  0.0436  0.1451  0.7678

---

The following is a GGA-PBE calculation of an optimized crystal structure of Co2ReRh, from Alexandria via LeMat-Bulk.

## Properties
crystal system: monoclinic
energy of formation from the pure elements: 0.255 eV/atom

Cell: 4.2289 2.6011 4.8041 Å, 83.35 90.00 90.00°
Atoms (fractional coordinates):
Re  0.5000  0.2500  0.2500
Rh  0.5000  0.7500  0.7500
Co  0.0000  0.0721  0.0075
Co  0.0000  0.4279  0.4925

---

The following is a GGA-PBE calculation of an optimized crystal structure of TlIn2GaIr, from Alexandria via LeMat-Bulk.

## Properties
crystal system: tetragonal
energy of formation from the pure elements: -0.101 eV/atom

Cell: 5.2267 5.2267 4.8507 Å, 90.00 90.00 90.00°
Atoms (fractional coordinates):
Tl  0.5000  0.5000  0.5000
Ir  0.0000  0.0000  0.0000
In  0.0000  0.5000  0.0000
In  0.5000  0.0000  0.0000
Ga  0.0000  0.0000  0.5000

---

These records have energy values of -2.26 -6.91 -6.73 -2.69 -4.51 -7.45 -4.25 -4.31 -5.27 -2.77 -8.25 -4.05 eV/atom, in the order they appear.